Na2HoIrO4: optimized geometry, PBE-GGA.

Structure (POSCAR):
```
Na2HoIrO4
1.0
3.3314 0.0000 0.0000
0.0000 5.3096 0.0003
0.0000 -1.9467 5.6033
O Ho Na Ir
4 1 2 1
Direct
0.0000 0.7487 0.2229
0.5000 0.2070 0.2068
0.5000 0.7930 0.7932
0.0000 0.2513 0.7771
0.5000 0.5000 0.0000
0.5000 0.0000 0.5000
0.0000 0.5000 0.5000
0.0000 0.0000 0.0000
```

The symmetry is P2/m, No. 10.



KTaS2Cl: optimized geometry, PBE-GGA.

Structure (POSCAR):
```
KTaS2Cl
1.0
-2.2922 -4.2593 -0.0019
0.3659 -0.1947 -4.8191
4.3938 -2.3648 0.4292
Ta S Cl K
1 2 1 1
Direct
0.0000 0.0000 0.0000
0.5000 0.0000 0.0000
0.0000 0.5000 0.0000
0.0000 0.0000 0.5000
0.5000 0.5000 0.5000
```

The value obtained for the density of states at the Fermi level is 2.6 states/eV/f.u. The symmetry is P4/mmm, No. 123. The polymorph energy (0 for the lowest one) is 0.000 eV per atom.



NaYMo2N: optimized geometry, PBE-GGA.

Structure (POSCAR):
```
NaYMo2N
1.0
-0.4138 4.0578 -0.7604
-1.3430 -1.0134 -4.6767
-3.9733 -0.1839 1.1808
Mo N Na Y
2 1 1 1
Direct
0.5000 0.0000 0.0000
0.0000 0.0000 0.5000
0.0000 0.0000 0.0000
0.5000 0.5000 0.5000
0.0000 0.5000 0.0000
```

The value obtained for the density of states at the Fermi level is 3.2 states/eV/f.u. The symmetry is P4/mmm, No. 123.



AcThTeSe: optimized geometry, PBE-GGA.

Structure (POSCAR):
```
AcThTeSe
1.0
4.2140 0.0000 -0.0010
-2.1061 3.6494 0.0003
-2.1077 -1.2168 8.2194
Te Th Ac Se
1 1 1 1
Direct
0.9786 0.3873 0.3812
0.4842 0.1400 0.6392
0.1219 0.9589 0.0962
0.2932 0.5446 0.8531
```

The value obtained for the density of states at the Fermi level is 4.0 states/eV/f.u. The symmetry is R3m, No. 160.



Pm3Y5Se12: optimized geometry, PBE-GGA.

Structure (POSCAR):
```
Pm3Y5Se12
1.0
14.7005 0.0000 0.0000
-4.9002 13.8597 0.0000
-4.9002 -6.9299 12.0029
Se Y Pm
48 20 12
Direct
0.4174 0.0477 0.3257
0.8257 0.9083 0.2780
0.4083 0.1303 0.5826
0.9174 0.0917 0.8697
0.8697 0.2780 0.4523
0.2780 0.4083 0.8257
0.4523 0.6743 0.0826
0.7220 0.5917 0.1743
0.5477 0.2220 0.1303
0.0917 0.1743 0.2220
0.0477 0.6303 0.7220
0.2780 0.8697 0.9523
0.5826 0.9523 0.6743
0.0477 0.4174 0.8257
0.1303 0.4083 0.0826
0.1743 0.0826 0.9523
0.9083 0.8257 0.7780
0.9523 0.3697 0.2780
0.0826 0.1743 0.4523
0.6303 0.0477 0.2220
0.4174 0.3697 0.5917
0.3697 0.9523 0.7780
0.8257 0.9174 0.0477
0.1303 0.7220 0.5477
0.6743 0.2220 0.5917
0.3257 0.5477 0.4174
0.5917 0.8697 0.4174
0.9083 0.0826 0.6303
0.7220 0.1303 0.0477
0.3257 0.7780 0.4083
0.1743 0.0917 0.7220
0.2220 0.6743 0.0917
0.5477 0.3257 0.9174
0.7780 0.3257 0.9083
0.6743 0.4523 0.5826
0.9523 0.5826 0.1743
0.2220 0.5477 0.6303
0.5917 0.7220 0.6743
0.0917 0.9174 0.3697
0.4523 0.7780 0.8697
0.6303 0.5826 0.9083
0.7780 0.4523 0.3697
0.4083 0.2780 0.3257
0.9174 0.8257 0.5477
0.8697 0.5917 0.9174
0.5826 0.6303 0.4083
0.0826 0.9083 0.1303
0.3697 0.4174 0.0917
0.0000 0.5000 0.0000
0.2500 0.3750 0.6250
0.1250 0.3750 0.2500
0.5000 0.0000 0.5000
0.2500 0.8750 0.1250
0.8750 0.2500 0.6250
0.6250 0.7500 0.8750
0.0000 0.0000 0.0000
0.3750 0.1250 0.7500
0.7500 0.6250 0.3750
0.0000 0.0000 0.5000
0.6250 0.8750 0.2500
0.1250 0.7500 0.3750
0.3750 0.2500 0.1250
0.7500 0.1250 0.8750
0.5000 0.5000 0.5000
0.8750 0.6250 0.7500
0.0000 0.5000 0.5000
0.5000 0.5000 0.0000
0.5000 0.0000 0.0000
0.1250 0.8750 0.7500
0.3750 0.7500 0.6250
0.2500 0.1250 0.3750
0.2500 0.6250 0.8750
0.6250 0.3750 0.7500
0.8750 0.7500 0.1250
0.6250 0.2500 0.3750
0.1250 0.2500 0.8750
0.7500 0.8750 0.6250
0.7500 0.3750 0.1250
0.8750 0.1250 0.2500
0.3750 0.6250 0.2500
```

The value obtained for the density of states at the Fermi level is 0.0 states/eV/f.u. The symmetry is Ia-3d, No. 230.



TcTeSe2: optimized geometry, PBE-GGA.

Structure (POSCAR):
```
TcTeSe2
1.0
-2.9721 0.9216 -4.5335
4.4218 -5.2208 0.2786
-6.7774 -1.3275 -0.1196
Te Tc Se
2 2 4
Direct
0.4455 0.3196 0.3820
0.1329 0.7815 0.5250
0.6232 0.5089 0.7645
0.6330 0.9369 0.1794
0.4165 0.8078 0.8864
0.1274 0.1689 0.9109
0.8226 0.1564 0.5319
0.8340 0.6303 0.0640
```

The value obtained for the density of states at the Fermi level is 1.8 states/eV/f.u. The symmetry is P1, No. 1.



HgOsOF2: optimized geometry, PBE-GGA.

Structure (POSCAR):
```
HgOsOF2
1.0
4.4695 0.0000 0.0000
0.0000 4.4695 0.0000
0.0000 0.0000 3.7009
F Os O Hg
2 1 1 1
Direct
0.0000 0.5000 0.0000
0.5000 0.0000 0.0000
0.0000 0.0000 0.0000
0.0000 0.0000 0.5000
0.5000 0.5000 0.5000
```

The value obtained for the density of states at the Fermi level is 3.2 states/eV/f.u. The symmetry is P4/mmm, No. 123. The polymorph energy (0 for the lowest one) is 0.000 eV per atom.



PmPaFe4: optimized geometry, PBE-GGA.

Structure (POSCAR):
```
PmPaFe4
1.0
-4.7715 -1.7091 -0.8741
-0.7277 -4.6723 -2.0230
-1.9479 -3.7800 2.8931
Fe Pm Pa
4 1 1
Direct
0.6260 0.1221 0.6260
0.1221 0.6260 0.6260
0.6260 0.6260 0.1221
0.6260 0.6260 0.6260
0.2500 0.2500 0.2500
0.0000 0.0000 0.0000
```

The value obtained for the density of states at the Fermi level is 8.3 states/eV/f.u. The symmetry is F-43m, No. 216. The energy of formation comes out at -12 meV per atom.



Number 1: energy -6.356 eV/atom. Number 2: energy -5.680 eV/atom. Number 3: energy -7.496 eV/atom. Number 4: energy -5.959 eV/atom. Number 5: energy -6.127 eV/atom. Number 6: energy -5.261 eV/atom. Number 7: energy -4.726 eV/atom. Number 8: energy -8.028 eV/atom.